VInCuNi, optimized geometry, DFT PBE-GGA; space group = F-43m, No. 216; calculated formation energy = 26 kJ/mol of formula units
1.0
-3.577 0.838 2.269
-3.657 -2.125 -0.871
-1.518 -2.922 2.795
Cu V In Ni
1 1 1 1
direct
0.250 0.250 0.250
0.000 0.000 0.000
0.500 0.500 0.500
0.750 0.750 0.750